1.
An optimized crystal structure of FeTc2As, computed with PBE.

a = 3.015 Å, b = 4.340 Å, c = 8.627 Å
α = 90.00°, β = 90.00°, γ = 90.00°
Sites, in units of the cell vectors:
Fe1 0.000 0.000 0.000
Fe2 0.500 0.500 0.500
Tc1 0.000 0.500 0.225
Tc2 0.000 0.500 0.775
Tc3 0.500 0.000 0.275
Tc4 0.500 0.000 0.725
As1 0.000 0.000 0.500
As2 0.500 0.500 0.000

Calculated values
- distance to the lowest polymorph of the same formula (meV/atom) = 136
- electronic total energy (eV/atom) = -8.3157

2.
An optimized crystal structure of Pu2GaSi, computed with PBE.

a = 2.967 Å, b = 2.967 Å, c = 31.023 Å
α = 90.00°, β = 90.00°, γ = 120.00°
Sites, in units of the cell vectors:
Pu1 0.000 0.000 0.247
Pu2 0.000 0.000 0.753
Pu3 0.333 0.667 0.420
Pu4 0.333 0.667 0.914
Pu5 0.667 0.333 0.086
Pu6 0.667 0.333 0.580
Ga1 0.000 0.000 0.000
Ga2 0.333 0.667 0.667
Ga3 0.667 0.333 0.333
Si1 0.000 0.000 0.500
Si2 0.333 0.667 0.167
Si3 0.667 0.333 0.833

Calculated values
- ΔE_f (raw) (eV per atom) = 0.002
- electronic total energy (eV/atom) = -9.2766

3.
An optimized crystal structure of BaMn2Os, computed with PBE.

a = 4.863 Å, b = 4.863 Å, c = 3.192 Å
α = 90.00°, β = 90.00°, γ = 90.00°
Sites, in units of the cell vectors:
Ba1 0.000 0.000 0.000
Mn1 0.000 0.500 0.500
Mn2 0.500 0.000 0.500
Os1 0.500 0.500 0.000

Calculated values
- distance to the lowest polymorph of the same formula (meV/atom) = 707
- electronic total energy (eV/atom) = -6.7464

4.
An optimized crystal structure of La5Tb2YHo, computed with PBE.

a = 11.298 Å, b = 11.298 Å, c = 10.592 Å
α = 90.00°, β = 90.00°, γ = 151.69°
Sites, in units of the cell vectors:
La1 0.000 0.000 0.000
La2 0.000 0.000 0.500
La3 0.124 0.876 0.750
La4 0.221 0.779 0.060
La5 0.221 0.779 0.441
La6 0.499 0.501 0.750
La7 0.501 0.499 0.250
La8 0.779 0.221 0.560
La9 0.779 0.221 0.941
La10 0.876 0.124 0.250
Tb1 0.386 0.614 0.003
Tb2 0.386 0.614 0.498
Tb3 0.614 0.386 0.503
Tb4 0.614 0.386 0.998
Y1 0.101 0.899 0.250
Y2 0.899 0.101 0.750
Ho1 0.290 0.710 0.750
Ho2 0.710 0.290 0.250

Calculated values
- electronic total energy (eV/atom) = -4.8682

5.
An optimized crystal structure of AcPmBi, computed with PBE.

a = 5.444 Å, b = 5.444 Å, c = 4.375 Å
α = 90.00°, β = 90.00°, γ = 120.00°
Sites, in units of the cell vectors:
Ac1 0.000 0.000 0.000
Pm1 0.333 0.667 0.507
Bi1 0.667 0.333 0.457

Calculated values
- distance to the lowest polymorph of the same formula (meV/atom) = 162
- electronic total energy (eV/atom) = -4.5773

6.
An optimized crystal structure of LaNp2Ru3, computed with PBE.

a = 6.004 Å, b = 6.004 Å, c = 4.080 Å
α = 90.00°, β = 90.00°, γ = 120.00°
Sites, in units of the cell vectors:
La1 0.000 0.000 0.000
Np1 0.333 0.667 0.000
Np2 0.667 0.333 0.000
Ru1 0.000 0.500 0.500
Ru2 0.500 0.000 0.500
Ru3 0.500 0.500 0.500

Calculated values
- electronic total energy (eV/atom) = -9.8524

7.
An optimized crystal structure of Tm3CdRh8, computed with PBE.

a = 9.172 Å, b = 9.172 Å, c = 9.172 Å
α = 33.42°, β = 33.42°, γ = 33.42°
Sites, in units of the cell vectors:
Tm1 0.000 0.000 0.000
Tm2 0.128 0.128 0.128
Tm3 0.508 0.508 0.508
Cd1 0.631 0.631 0.631
Rh1 0.067 0.067 0.565
Rh2 0.067 0.565 0.067
Rh3 0.067 0.566 0.566
Rh4 0.316 0.316 0.316
Rh5 0.565 0.067 0.067
Rh6 0.566 0.067 0.566
Rh7 0.566 0.566 0.067
Rh8 0.816 0.816 0.816

Calculated values
- electronic total energy (eV/atom) = -6.7070

8.
An optimized crystal structure of Ac6Ge3P2Br, computed with PBE.

a = 10.175 Å, b = 10.175 Å, c = 9.193 Å
α = 102.98°, β = 102.98°, γ = 25.59°
Sites, in units of the cell vectors:
Ac1 0.003 0.003 0.271
Ac2 0.327 0.327 0.905
Ac3 0.332 0.332 0.423
Ac4 0.668 0.668 0.577
Ac5 0.673 0.673 0.095
Ac6 0.997 0.997 0.729
Ge1 0.162 0.162 0.836
Ge2 0.500 0.500 0.500
Ge3 0.838 0.838 0.164
P1 0.166 0.166 0.332
P2 0.834 0.834 0.668
Br1 0.500 0.500 0.000

Calculated values
- ΔE_f (raw) (eV per atom) = -1.067
- electronic total energy (eV/atom) = -5.3167

9.
An optimized crystal structure of CePuGaPb, computed with PBE.

a = 3.398 Å, b = 3.398 Å, c = 8.893 Å
α = 90.00°, β = 90.00°, γ = 90.00°
Sites, in units of the cell vectors:
Ce1 0.000 0.000 0.000
Pu1 0.000 0.000 0.551
Ga1 0.500 0.500 0.775
Pb1 0.500 0.500 0.278

Calculated values
- distance to the lowest polymorph of the same formula (meV/atom) = 0
- electronic total energy (eV/atom) = -7.0785

10.
An optimized crystal structure of Li12Bi5Au2, computed with PBE.

a = 8.463 Å, b = 8.463 Å, c = 9.612 Å
α = 103.26°, β = 103.26°, γ = 39.44°
Sites, in units of the cell vectors:
Li1 0.023 0.023 0.337
Li2 0.062 0.566 0.868
Li3 0.104 0.611 0.378
Li4 0.389 0.896 0.622
Li5 0.434 0.938 0.132
Li6 0.436 0.436 0.182
Li7 0.564 0.564 0.818
Li8 0.566 0.062 0.868
Li9 0.611 0.104 0.378
Li10 0.896 0.389 0.622
Li11 0.938 0.434 0.132
Li12 0.977 0.977 0.663
Bi1 0.143 0.143 0.875
Bi2 0.213 0.213 0.425
Bi3 0.500 0.500 0.500
Bi4 0.787 0.787 0.575
Bi5 0.857 0.857 0.125
Au1 0.253 0.747 0.000
Au2 0.747 0.253 0.000

Calculated values
- electronic total energy (eV/atom) = -2.9250

11.
An optimized crystal structure of AcPm4Er6, computed with PBE.

a = 9.751 Å, b = 9.751 Å, c = 9.751 Å
α = 139.82°, β = 139.82°, γ = 58.12°
Sites, in units of the cell vectors:
Ac1 0.000 0.000 0.000
Pm1 0.014 0.631 0.000
Pm2 0.369 0.369 0.383
Pm3 0.631 0.014 0.000
Pm4 0.986 0.986 0.617
Er1 0.000 0.500 0.500
Er2 0.197 0.197 0.642
Er3 0.446 0.803 0.000
Er4 0.500 0.000 0.500
Er5 0.554 0.554 0.358
Er6 0.803 0.446 0.000

Calculated values
- electronic total energy (eV/atom) = -4.2488

12.
An optimized crystal structure of ScTl2, computed with PBE.

a = 4.933 Å, b = 4.958 Å, c = 6.982 Å
α = 90.00°, β = 90.00°, γ = 90.00°
Sites, in units of the cell vectors:
Sc1 0.000 0.000 0.000
Sc2 0.500 0.500 0.500
Tl1 0.000 0.500 0.249
Tl2 0.000 0.500 0.751
Tl3 0.500 0.000 0.251
Tl4 0.500 0.000 0.749

Calculated values
- electronic total energy (eV/atom) = -3.6381